A plane-wave DFT calculation with meta-GGA SCAN was carried out for YMg14CoO16 at its PBEsol-relaxed geometry.

Output
Magnetic moment, μB/f.u.: 2.0
Energy, eV/atom: -9.576
ΔE_f (raw), eV per atom: -2.87

a = 8.5738 Å, b = 8.5738 Å, c = 4.2814 Å
α = 90.00°, β = 90.00°, γ = 90.00°
Closest atoms and distances in Å follow each position.
Fractional coordinates of all 32 atoms:
Y 0.0000 0.0000 0.0000  6 O 2.14-2.21
Mg 0.0000 0.2643 0.5000  5 O 2.02-2.14
Mg 0.0000 0.5000 0.0000  6 O 2.04-2.14
Mg 0.0000 0.7357 0.5000  5 O 2.02-2.14
Mg 0.2576 0.5000 0.5000  6 O 2.08-2.21
Mg 0.2617 0.2617 0.0000  6 O 2.05-2.24
Mg 0.2617 0.7383 0.0000  6 O 2.05-2.24
Mg 0.2643 0.0000 0.5000  5 O 2.02-2.14
Mg 0.5000 0.0000 0.0000  6 O 2.04-2.14
Mg 0.5000 0.2576 0.5000  6 O 2.08-2.21
Mg 0.5000 0.7424 0.5000  6 O 2.08-2.21
Mg 0.7357 0.0000 0.5000  5 O 2.02-2.14
Mg 0.7383 0.2617 0.0000  6 O 2.05-2.24
Mg 0.7383 0.7383 0.0000  6 O 2.05-2.24
Mg 0.7424 0.5000 0.5000  6 O 2.08-2.21
Co 0.5000 0.5000 0.0000  6 O 2.14-2.24
O 0.0000 0.0000 0.5000  2 Y 2.14, 4 Mg 2.27
O 0.0000 0.2573 0.0000  5 Mg 2.08-2.24, 1 Y 2.21
O 0.0000 0.5000 0.5000  6 Mg 2.02-2.21
O 0.0000 0.7427 0.0000  5 Mg 2.08-2.24, 1 Y 2.21
O 0.2383 0.5000 0.0000  5 Mg 2.04-2.15, 1 Co 2.24
O 0.2490 0.2490 0.5000  6 Mg 2.14-2.15
O 0.2490 0.7510 0.5000  6 Mg 2.14-2.15
O 0.2573 0.0000 0.0000  5 Mg 2.08-2.24, 1 Y 2.21
O 0.5000 0.0000 0.5000  6 Mg 2.02-2.21
O 0.5000 0.2383 0.0000  5 Mg 2.04-2.15, 1 Co 2.24
O 0.5000 0.5000 0.5000  4 Mg 2.08, 2 Co 2.14
O 0.5000 0.7617 0.0000  5 Mg 2.04-2.15, 1 Co 2.24
O 0.7427 0.0000 0.0000  5 Mg 2.08-2.24, 1 Y 2.21
O 0.7510 0.2490 0.5000  6 Mg 2.14-2.15
O 0.7510 0.7510 0.5000  6 Mg 2.14-2.15
O 0.7617 0.5000 0.0000  5 Mg 2.04-2.15, 1 Co 2.24

***

A plane-wave DFT calculation with meta-GGA SCAN was carried out for MgCoOs at its PBEsol-relaxed geometry.

Output
Magnetic moment, μB/f.u.: 0.0
Formation energy, eV per atom: 0.55
Energy, eV/atom: -30.838
Energy relative to the lowest polymorph listed for this composition, eV per atom: 0.298

a = 3.9828 Å, b = 3.9828 Å, c = 3.9828 Å
α = 60.00°, β = 60.00°, γ = 60.00°
Closest atoms and distances in Å follow each position.
Fractional coordinates of all 3 atoms:
Mg 0.0000 0.0000 0.0000  4 Co 2.44
Co 0.7500 0.7500 0.7500  4 Mg 2.44, 4 Os 2.44
Os 0.5000 0.5000 0.5000  4 Co 2.44

***

| no. | mass density (g/cm³) |
| --- | --- |
| 1 | 3.9 |
| 2 | 10.2 |